Entry 1:
A relaxed structure of Tb3Nd8Ho2, computed with PBE-GGA.

a b c (Å): 5.7645 7.7352 10.9181
angles (deg): 110.75 90.02 90.00
Last column: nearest neighbours and their distance in Å.
Atoms (fractional coordinates):
Tb: 0.5000 0.0000 0.0000  4 Nd 3.15
Tb: 0.0000 0.2857 0.0000  3 Tb 3.32-3.63, 6 Nd 3.49-3.61
Tb: 0.0000 0.7143 0.0000  3 Tb 3.32-3.63, 6 Nd 3.49-3.61
Nd: 0.0006 0.6735 0.3471  2 Ho 3.38, 4 Nd 3.57
Nd: 0.9994 0.3265 0.6529  2 Ho 3.38, 4 Nd 3.57
Nd: 0.9997 0.1321 0.2642  2 Tb 3.49, 2 Ho 3.63, 4 Nd 3.71
Nd: 0.0003 0.8679 0.7358  2 Tb 3.49, 2 Ho 3.63, 4 Nd 3.71
Nd: 0.4999 0.5994 0.7872  1 Tb 3.15, 1 Nd 3.18, 1 Ho 3.51
Nd: 0.4999 0.1878 0.7872  1 Tb 3.15, 1 Nd 3.18, 1 Ho 3.51
Nd: 0.5001 0.8122 0.2128  1 Tb 3.15, 1 Nd 3.18, 1 Ho 3.51
Nd: 0.5001 0.4006 0.2128  1 Tb 3.15, 1 Nd 3.18, 1 Ho 3.51
Ho: 0.4992 0.2402 0.4803  8 Nd 3.38-3.63
Ho: 0.5008 0.7598 0.5197  8 Nd 3.38-3.63

For the spin magnetization, the calculation gives 0.000 μB/atom. As for the formation energy: 204 meV/atom.

***

Entry 2:
A relaxed structure of Tb2Nd3Ho8, computed with PBE-GGA.

a b c (Å): 5.6291 7.6980 10.7748
angles (deg): 110.93 90.04 90.00
Last column: nearest neighbours and their distance in Å.
Atoms (fractional coordinates):
Tb: 0.4989 0.2413 0.4826  8 Ho 3.32-3.54
Tb: 0.5011 0.7587 0.5174  8 Ho 3.32-3.54
Nd: 0.5000 0.0000 0.0000  4 Ho 3.14
Nd: 0.0000 0.2922 0.0000  1 Nd 3.20, 6 Ho 3.53-3.57
Nd: 0.0000 0.7078 0.0000  1 Nd 3.20, 6 Ho 3.53-3.57
Ho: 0.0010 0.6709 0.3418  2 Tb 3.32, 4 Ho 3.47
Ho: 0.9990 0.3291 0.6582  2 Tb 3.32, 4 Ho 3.47
Ho: 0.9996 0.1350 0.2699  4 Nd 3.53-3.91, 2 Tb 3.53-3.54, 7 Ho 3.63-3.92
Ho: 0.0004 0.8650 0.7301  4 Nd 3.53-3.91, 2 Tb 3.53-3.54, 7 Ho 3.63-3.92
Ho: 0.4996 0.5998 0.7816  1 Nd 3.14, 3 Ho 3.22-3.47, 2 Tb 3.41-3.48
Ho: 0.4996 0.1817 0.7816  1 Nd 3.14, 3 Ho 3.22-3.47, 2 Tb 3.41-3.48
Ho: 0.5004 0.8183 0.2184  1 Nd 3.14, 3 Ho 3.22-3.47, 2 Tb 3.41-3.48
Ho: 0.5004 0.4002 0.2184  1 Nd 3.14, 3 Ho 3.22-3.47, 2 Tb 3.41-3.48

For the spin magnetization, the calculation gives 0.000 μB/atom. As for the formation energy: 250 meV/atom.

***

Entry 3:
A relaxed structure of TbNd12Ho5, computed with PBE-GGA.

a b c (Å): 15.3724 10.8896 5.1451
angles (deg): 90.00 90.00 45.10
Last column: nearest neighbours and their distance in Å.
Atoms (fractional coordinates):
Tb: 0.0000 0.0000 0.0000  8 Nd 3.61-3.62, 4 Ho 3.64
Nd: 0.8346 0.0000 0.5001  2 Tb 3.62, 2 Ho 3.62, 8 Nd 3.64-3.67
Nd: 0.1654 0.0000 0.4999  2 Tb 3.62, 2 Ho 3.62, 8 Nd 3.64-3.67
Nd: 0.6646 0.0000 0.9999  4 Ho 3.61, 8 Nd 3.64-3.67
Nd: 0.3354 0.0000 0.0001  4 Ho 3.61, 8 Nd 3.64-3.67
Nd: 0.3318 0.6666 0.0000  3 Ho 3.61, 1 Tb 3.61, 8 Nd 3.64-3.67
Nd: 0.0016 0.6666 0.0000  3 Ho 3.61, 1 Tb 3.61, 8 Nd 3.64-3.67
Nd: 0.9984 0.3334 0.0000  3 Ho 3.61, 1 Tb 3.61, 8 Nd 3.64-3.67
Nd: 0.6682 0.3334 0.0000  3 Ho 3.61, 1 Tb 3.61, 8 Nd 3.64-3.67
Nd: 0.4981 0.3334 0.4999  4 Ho 3.61, 8 Nd 3.64-3.67
Nd: 0.8315 0.6666 0.4999  4 Ho 3.61, 8 Nd 3.64-3.67
Nd: 0.1685 0.3334 0.5001  4 Ho 3.61, 8 Nd 3.64-3.67
Nd: 0.5019 0.6666 0.5001  4 Ho 3.61, 8 Nd 3.64-3.67
Ho: 0.5000 0.0000 0.5000  8 Nd 3.61, 4 Ho 3.64
Ho: 0.1668 0.6664 0.5000  8 Nd 3.61-3.62, 2 Ho 3.63, 2 Tb 3.64
Ho: 0.8332 0.3336 0.5000  8 Nd 3.61-3.62, 2 Ho 3.63, 2 Tb 3.64
Ho: 0.6668 0.6664 0.0000  8 Nd 3.61, 4 Ho 3.63-3.64
Ho: 0.3332 0.3336 0.0000  8 Nd 3.61, 4 Ho 3.63-3.64

For the spin magnetization, the calculation gives 0.000 μB/atom. As for the formation energy: 20 meV/atom.

***

Entry 4:
A relaxed structure of Tb3Nd7Ho, computed with PBE-GGA.

a b c (Å): 10.3271 10.3217 12.6411
angles (deg): 114.59 65.46 139.12
Last column: nearest neighbours and their distance in Å.
Atoms (fractional coordinates):
Tb: 0.3277 0.6679 0.7739  10 Nd 3.52-3.69, 1 Ho 3.56
Tb: 0.0000 0.0000 0.0000  8 Nd 3.47-3.77, 2 Ho 3.61
Tb: 0.0000 0.0000 0.5000  8 Nd 3.46-3.77, 2 Ho 3.61
Tb: 0.3308 0.6710 0.2739  10 Nd 3.52-3.70, 1 Ho 3.56
Tb: 0.6691 0.3290 0.7261  10 Nd 3.52-3.70, 1 Ho 3.56
Tb: 0.6723 0.3321 0.2261  10 Nd 3.52-3.69, 1 Ho 3.56
Nd: 0.1635 0.8456 0.2264  4 Tb 3.46-3.63, 7 Nd 3.61-3.70
Nd: 0.1560 0.8375 0.7263  4 Tb 3.47-3.63, 7 Nd 3.61-3.69
Nd: 0.0871 0.4196 0.5258  1 Ho 3.56, 4 Tb 3.56-3.68, 6 Nd 3.57-3.70
Nd: 0.0836 0.4191 0.0283  4 Tb 3.52-3.69, 7 Nd 3.56-3.66, 1 Ho 3.59
Nd: 0.5799 0.9125 0.0260  1 Ho 3.56, 4 Tb 3.56-3.68, 6 Nd 3.57-3.69
Nd: 0.5807 0.9161 0.5284  4 Tb 3.52-3.70, 7 Nd 3.56-3.65, 1 Ho 3.58
Nd: 0.2856 0.2855 0.7499  2 Ho 3.52, 4 Tb 3.52-3.77, 4 Nd 3.58-3.62
Nd: 0.7144 0.7145 0.2501  2 Ho 3.52, 4 Tb 3.52-3.77, 4 Nd 3.58-3.62
Nd: 0.4201 0.0875 0.9740  1 Ho 3.56, 4 Tb 3.56-3.68, 6 Nd 3.57-3.69
Nd: 0.4193 0.0839 0.4716  4 Tb 3.52-3.70, 7 Nd 3.56-3.65, 1 Ho 3.58
Nd: 0.9164 0.5809 0.9717  4 Tb 3.52-3.69, 7 Nd 3.56-3.66, 1 Ho 3.59
Nd: 0.9129 0.5804 0.4742  1 Ho 3.56, 4 Tb 3.56-3.68, 6 Nd 3.57-3.70
Nd: 0.8439 0.1625 0.2737  4 Tb 3.47-3.63, 7 Nd 3.61-3.69
Nd: 0.8365 0.1544 0.7736  4 Tb 3.46-3.63, 7 Nd 3.61-3.70
Ho: 0.5000 0.5000 0.0000  6 Nd 3.52-3.59, 4 Tb 3.56-3.61
Ho: 0.5000 0.5000 0.5000  6 Nd 3.52-3.58, 4 Tb 3.56-3.61

For the spin magnetization, the calculation gives 0.000 μB/atom. As for the formation energy: 183 meV/atom.

***

Entry 5:
A relaxed structure of Tb2NdHo6, computed with PBE-GGA.

a b c (Å): 5.0219 10.6424 10.6424
angles (deg): 90.00 90.00 90.00
Last column: nearest neighbours and their distance in Å.
Atoms (fractional coordinates):
Tb: 0.0000 0.3325 0.8326  10 Ho 3.53-3.57, 2 Nd 3.56
Tb: 0.5000 0.8325 0.6674  10 Ho 3.53-3.57, 2 Nd 3.56
Tb: 0.5000 0.1675 0.3326  10 Ho 3.53-3.57, 2 Nd 3.56
Tb: 0.0000 0.6675 0.1674  10 Ho 3.53-3.57, 2 Nd 3.56
Nd: 0.5000 0.5000 0.0000  4 Tb 3.56, 8 Ho 3.56
Nd: 0.0000 0.0000 0.5000  4 Tb 3.56, 8 Ho 3.56
Ho: 0.0000 0.0002 0.1654  8 Ho 3.52-3.56, 3 Tb 3.54-3.56, 1 Nd 3.56
Ho: 0.0000 0.6654 0.5001  8 Ho 3.52-3.56, 3 Tb 3.54-3.55, 1 Nd 3.56
Ho: 0.0000 0.6679 0.8320  4 Tb 3.53-3.57, 6 Ho 3.53-3.56, 2 Nd 3.56
Ho: 0.5000 0.1679 0.6680  4 Tb 3.53-3.57, 6 Ho 3.53-3.56, 2 Nd 3.56
Ho: 0.5000 0.1654 0.9999  8 Ho 3.52-3.56, 3 Tb 3.54-3.55, 1 Nd 3.56
Ho: 0.5000 0.5002 0.3346  8 Ho 3.52-3.56, 3 Tb 3.54-3.56, 1 Nd 3.56
Ho: 0.0000 0.9998 0.8346  8 Ho 3.52-3.56, 3 Tb 3.54-3.56, 1 Nd 3.56
Ho: 0.0000 0.3346 0.4999  8 Ho 3.52-3.56, 3 Tb 3.54-3.55, 1 Nd 3.56
Ho: 0.0000 0.3321 0.1680  4 Tb 3.53-3.57, 6 Ho 3.53-3.56, 2 Nd 3.56
Ho: 0.5000 0.8321 0.3320  4 Tb 3.53-3.57, 6 Ho 3.53-3.56, 2 Nd 3.56
Ho: 0.5000 0.8346 0.0001  8 Ho 3.52-3.56, 3 Tb 3.54-3.55, 1 Nd 3.56
Ho: 0.5000 0.4998 0.6654  8 Ho 3.52-3.56, 3 Tb 3.54-3.56, 1 Nd 3.56

For the spin magnetization, the calculation gives 0.000 μB/atom. As for the formation energy: 20 meV/atom.

***

Entry 6:
A relaxed structure of Tb2Nd3Ho2, computed with PBE-GGA.

a b c (Å): 3.5249 8.6155 8.9743
angles (deg): 118.21 101.33 90.00
Last column: nearest neighbours and their distance in Å.
Atoms (fractional coordinates):
Tb: 0.8558 0.6778 0.7117  4 Tb 3.52-3.92, 4 Nd 3.54-3.69, 4 Ho 3.60-3.67
Tb: 0.1442 0.3222 0.2883  4 Tb 3.52-3.92, 4 Nd 3.54-3.69, 4 Ho 3.60-3.67
Nd: 0.0000 0.5000 0.0000  4 Nd 3.38-3.52, 2 Tb 3.54, 4 Ho 3.60
Nd: 0.2131 0.8008 0.4261  5 Nd 3.38-3.52, 3 Ho 3.49-3.63, 3 Tb 3.62-3.69
Nd: 0.7869 0.1992 0.5739  5 Nd 3.38-3.52, 3 Ho 3.49-3.63, 3 Tb 3.62-3.69
Ho: 0.5642 0.9086 0.1284  3 Ho 3.32-3.52, 5 Nd 3.49-3.63, 4 Tb 3.60-3.67
Ho: 0.4358 0.0914 0.8716  3 Ho 3.32-3.52, 5 Nd 3.49-3.63, 4 Tb 3.60-3.67

For the spin magnetization, the calculation gives 0.000 μB/atom. As for the formation energy: 109 meV/atom.

***

Entry 7:
A relaxed structure of Tb3Nd4Ho4, computed with PBE-GGA.

a b c (Å): 5.7022 6.6755 10.6702
angles (deg): 90.00 90.00 115.28
Last column: nearest neighbours and their distance in Å.
Atoms (fractional coordinates):
Tb: 0.4103 0.8205 0.2890  4 Ho 3.30-3.69, 4 Nd 3.52-3.65, 1 Tb 3.61
Tb: 0.4103 0.8205 0.7110  4 Ho 3.30-3.69, 4 Nd 3.52-3.65, 1 Tb 3.61
Tb: 0.2542 0.5083 0.0000  7 Nd 3.54-3.79, 5 Ho 3.60-3.75, 2 Tb 3.61
Nd: 0.7552 0.5103 0.7918  4 Ho 3.30-3.57, 2 Nd 3.33-3.47, 4 Tb 3.52-3.61
Nd: 0.7552 0.5103 0.2082  4 Ho 3.30-3.57, 2 Nd 3.33-3.47, 4 Tb 3.52-3.61
Nd: 0.8824 0.7647 0.5000  3 Ho 3.29-3.40, 2 Nd 3.47, 4 Tb 3.65
Nd: 0.9607 0.9214 0.0000  2 Ho 3.06, 2 Nd 3.33
Ho: 0.6102 0.2205 0.5000  3 Nd 3.29-3.57, 2 Tb 3.30, 4 Ho 3.55
Ho: 0.5526 0.1053 0.0000  4 Nd 3.06-3.30
Ho: 0.1038 0.2075 0.6975  4 Nd 3.40-3.66, 2 Ho 3.55, 4 Tb 3.69-3.70
Ho: 0.1038 0.2075 0.3025  4 Nd 3.40-3.66, 2 Ho 3.55, 4 Tb 3.69-3.70

For the spin magnetization, the calculation gives 0.000 μB/atom. As for the formation energy: 151 meV/atom.

***

Entry 8:
A relaxed structure of Tb4Nd2Ho3, computed with PBE-GGA.

a b c (Å): 6.1593 11.2874 11.2874
angles (deg): 62.17 62.06 62.06
Last column: nearest neighbours and their distance in Å.
Atoms (fractional coordinates):
Tb: 0.4209 0.9067 0.1871  1 Nd 3.30, 4 Ho 3.39-3.50, 3 Tb 3.42-3.60
Tb: 0.0791 0.8129 0.0933  1 Nd 3.30, 4 Ho 3.39-3.50, 3 Tb 3.42-3.60
Tb: 0.5791 0.0933 0.8129  1 Nd 3.30, 4 Ho 3.39-3.50, 3 Tb 3.42-3.60
Tb: 0.9209 0.1871 0.9067  1 Nd 3.30, 4 Ho 3.39-3.50, 3 Tb 3.42-3.60
Tb: 0.0833 0.1455 0.4233  1 Tb 3.32, 4 Ho 3.37-3.53, 3 Nd 3.44-3.63
Tb: 0.4167 0.5767 0.8545  1 Tb 3.32, 4 Ho 3.37-3.53, 3 Nd 3.44-3.63
Tb: 0.9167 0.8545 0.5767  1 Tb 3.32, 4 Ho 3.37-3.53, 3 Nd 3.44-3.63
Tb: 0.5833 0.4233 0.1455  1 Tb 3.32, 4 Ho 3.37-3.53, 3 Nd 3.44-3.63
Nd: 0.4219 0.2345 0.5224  4 Tb 3.30-3.63, 4 Ho 3.45-3.51
Nd: 0.0781 0.4776 0.7655  4 Tb 3.30-3.63, 4 Ho 3.45-3.51
Nd: 0.5781 0.7655 0.4776  4 Tb 3.30-3.63, 4 Ho 3.45-3.51
Nd: 0.9219 0.5224 0.2345  4 Tb 3.30-3.63, 4 Ho 3.45-3.51
Ho: 0.7621 0.0669 0.2634  6 Tb 3.37-3.53, 2 Nd 3.47-3.50
Ho: 0.7379 0.7366 0.9331  6 Tb 3.37-3.53, 2 Nd 3.47-3.50
Ho: 0.2379 0.9331 0.7366  6 Tb 3.37-3.53, 2 Nd 3.47-3.50
Ho: 0.2621 0.2634 0.0669  6 Tb 3.37-3.53, 2 Nd 3.47-3.50
Ho: 0.2500 0.5986 0.4014  4 Nd 3.45-3.51, 4 Tb 3.50-3.53, 2 Ho 3.84
Ho: 0.7500 0.4014 0.5986  4 Nd 3.45-3.51, 4 Tb 3.50-3.53, 2 Ho 3.84

For the spin magnetization, the calculation gives 0.000 μB/atom. As for the formation energy: 91 meV/atom.